Record 1
This record from Alexandria via LeMat-Bulk describes a crystal of MgZn2Hg relaxed with PBEsol. The functional is SCAN.

Lattice parameters (Å, degrees): 3.202 4.260 5.419 90.00 105.83 90.00
Positions (direct):
Mg 0.211 0.500 0.784
Zn 0.807 0.000 0.995
Zn 0.934 0.500 0.248
Hg 0.548 0.000 0.472

DFT formation energy	-0.053	eV/atom
volume	17.8	A^3/atom
energy relative to the lowest polymorph listed for this composition	50	meV per atom
magnetization	0.00	μB/f.u.

Record 2
This record from Alexandria via LeMat-Bulk describes a crystal of ReTeCl2 relaxed with PBEsol. The functional is SCAN.

Lattice parameters (Å, degrees): 2.918 3.162 10.784 90.00 90.00 117.48
Positions (direct):
Re 0.500 0.000 0.500
Te 0.500 0.000 0.000
Cl 0.000 0.000 0.674
Cl 0.000 0.000 0.326

volume	22.1	A^3/atom
energy relative to the lowest polymorph listed for this composition	0	meV per atom
magnetization	0.00	μB/f.u.

Record 3
This record from Alexandria via LeMat-Bulk describes a crystal of Ba2CaCd relaxed with PBEsol. The functional is SCAN.

Lattice parameters (Å, degrees): 5.936 5.936 5.936 60.00 60.00 60.00
Positions (direct):
Ca 0.500 0.500 0.500
Ba 0.000 0.000 0.000
Ba 0.250 0.250 0.250
Cd 0.750 0.750 0.750

DFT formation energy	-0.085	eV/atom
volume	37.0	A^3/atom
magnetization	0.00	μB/f.u.

Record 4
This record from Alexandria via LeMat-Bulk describes a crystal of RbNa2Mn relaxed with PBEsol. The functional is SCAN.

Lattice parameters (Å, degrees): 5.074 5.074 12.735 101.49 101.49 90.00
Site moments in Bohr magnetons follow the coordinates.
Positions (direct):
Na 0.418 0.875 0.250  -0.01
Na 0.832 0.375 0.250  -0.01
Na 0.125 0.168 0.750  -0.01
Na 0.625 0.582 0.750  -0.01
Mn 0.750 0.250 0.500  4.64
Mn 0.500 0.500 0.000  4.64
Rb 0.250 0.750 0.500  0.01
Rb 0.000 0.000 0.000  0.01

DFT formation energy	0.523	eV/atom
volume	39.3	A^3/atom
magnetization	5.07	μB/f.u.

Record 5
This record from Alexandria via LeMat-Bulk describes a crystal of ZnIrPd3 relaxed with PBEsol. The functional is SCAN.

Lattice parameters (Å, degrees): 4.417 4.417 4.417 90.00 90.00 90.00
Positions (direct):
Zn 0.000 0.000 0.000
Ir 0.500 0.500 0.500
Pd 0.000 0.500 0.000
Pd 0.000 0.000 0.500
Pd 0.500 0.000 0.000

DFT formation energy	1.122	eV/atom
volume	17.2	A^3/atom
magnetization	0.00	μB/f.u.

Record 6
This record from Alexandria via LeMat-Bulk describes a crystal of Zr2ZnCl relaxed with PBEsol. The functional is SCAN.

Lattice parameters (Å, degrees): 3.197 4.458 5.401 90.00 90.00 90.00
Positions (direct):
Zn 0.000 0.500 0.500
Zr 0.000 0.000 0.000
Zr 0.500 0.000 0.500
Cl 0.500 0.500 0.000

volume	19.2	A^3/atom
energy relative to the lowest polymorph listed for this composition	157	meV per atom
magnetization	0.00	μB/f.u.

Record 7
This record from Alexandria via LeMat-Bulk describes a crystal of TcAsF2 relaxed with PBEsol. The functional is SCAN.

Lattice parameters (Å, degrees): 4.157 4.157 4.157 60.00 60.00 60.00
Site moments in Bohr magnetons follow the coordinates.
Positions (direct):
As 0.000 0.000 0.000  -0.41
Tc 0.500 0.500 0.500  3.07
F 0.250 0.250 0.250  -0.01
F 0.750 0.750 0.750  -0.01

total DFT energy (no corrections)	-63.4	eV/cell
volume	12.7	A^3/atom
magnetization	2.43	μB/f.u.

Record 8
This record from Alexandria via LeMat-Bulk describes a crystal of Na2Cd2Ga relaxed with PBEsol. The functional is SCAN.

Lattice parameters (Å, degrees): 4.963 7.047 7.047 90.00 90.00 90.00
Positions (direct):
Na 0.500 0.172 0.672
Na 0.500 0.672 0.828
Na 0.500 0.828 0.328
Na 0.500 0.328 0.172
Ga 0.000 0.000 0.000
Ga 0.000 0.500 0.500
Cd 0.000 0.358 0.858
Cd 0.000 0.858 0.642
Cd 0.000 0.642 0.142
Cd 0.000 0.142 0.358

DFT formation energy	-0.071	eV/atom
volume	24.6	A^3/atom
energy relative to the lowest polymorph listed for this composition	0	meV per atom
magnetization	0.00	μB/f.u.

Record 9
This record from Alexandria via LeMat-Bulk describes a crystal of SrBi5O9 relaxed with PBEsol. The functional is SCAN.

Lattice parameters (Å, degrees): 3.994 6.819 9.559 98.39 102.06 89.98
Site moments in Bohr magnetons follow the coordinates.
Positions (direct):
Sr 0.024 0.000 0.005  0.00
Bi 0.185 0.417 0.327  0.04
Bi 0.356 0.096 0.669  0.00
Bi 0.523 0.500 0.003  0.00
Bi 0.691 0.878 0.339  -0.01
Bi 0.851 0.605 0.657  0.00
O 0.349 0.428 0.652  0.03
O 0.180 0.090 0.319  0.34
O 0.071 0.378 0.097  0.04
O 0.238 0.738 0.432  0.30
O 0.468 0.157 0.893  0.01
O 0.867 0.941 0.689  0.00
O 0.660 0.528 0.276  0.10
O 0.577 0.836 0.110  0.01
O 0.963 0.632 0.880  0.01

total DFT energy (no corrections)	-491.0	eV/cell
volume	16.8	A^3/atom
magnetization	1.03	μB/f.u.

Record 10
This record from Alexandria via LeMat-Bulk describes a crystal of Nd5Ga3 relaxed with PBEsol. The functional is SCAN.

Lattice parameters (Å, degrees): 7.719 7.719 9.006 115.38 115.38 90.00
Positions (direct):
Nd 0.500 0.500 0.000
Nd 0.000 0.000 0.000
Nd 0.476 0.976 0.301
Nd 0.825 0.325 0.301
Nd 0.976 0.825 0.301
Nd 0.325 0.476 0.301
Nd 0.524 0.024 0.699
Nd 0.175 0.675 0.699
Nd 0.024 0.175 0.699
Nd 0.675 0.524 0.699
Ga 0.750 0.750 0.500
Ga 0.250 0.250 0.500
Ga 0.117 0.617 0.000
Ga 0.883 0.383 0.000
Ga 0.617 0.883 0.000
Ga 0.383 0.117 0.000

DFT formation energy	-0.545	eV/atom
volume	26.7	A^3/atom
magnetization	0.00	μB/f.u.

Record 11
This record from Alexandria via LeMat-Bulk describes a crystal of MgTeSe3 relaxed with PBEsol. The functional is SCAN.

Lattice parameters (Å, degrees): 4.935 4.935 4.935 90.00 90.00 90.00
Positions (direct):
Mg 0.000 0.000 0.000
Te 0.500 0.500 0.500
Se 0.000 0.500 0.000
Se 0.000 0.000 0.500
Se 0.500 0.000 0.000

total DFT energy (no corrections)	-101.7	eV/cell
volume	24.0	A^3/atom
magnetization	0.00	μB/f.u.

Record 12
This record from Alexandria via LeMat-Bulk describes a crystal of CoH3I relaxed with PBEsol. The functional is SCAN.

Lattice parameters (Å, degrees): 3.982 3.982 3.982 90.00 90.00 90.00
Site moments in Bohr magnetons follow the coordinates.
Positions (direct):
I 0.000 0.000 0.000  0.02
H 0.000 0.500 0.000  0.00
H 0.000 0.000 0.500  0.00
H 0.500 0.000 0.000  0.00
Co 0.500 0.500 0.500  2.15

total DFT energy (no corrections)	-57.0	eV/cell
volume	12.6	A^3/atom
magnetization	2.42	μB/f.u.

- Which formula does entry 3 have?
  Ba2CaCd